DFT (PBE-GGA) results for crystalline ScCdPd at its relaxed geometry.

DFT formation energy = -0.6397 eV per atom
Total energy = -14.36 eV for the cell shown
Crystal system = tetragonal
Magnetization = 0.00 μB/f.u.
Space group = I4mm

abc: 5.231 5.231 5.231
angles: 140.77 140.77 56.69
Fractional positions:
Sc: 0.000 0.000 0.000
Cd: 0.683 0.683 0.000
Pd: 0.356 0.356 0.000